# VCr3F

A relaxed structure of VCr3F (PBE+U, Alexandria).

a = 4.462 Å, b = 4.462 Å, c = 4.462 Å
α = 90.00°, β = 90.00°, γ = 90.00°
Fractional coordinates of all 5 atoms:
V 0.000 0.000 0.000
Cr 0.000 0.500 0.500
Cr 0.500 0.000 0.500
Cr 0.500 0.500 0.000
F 0.500 0.500 0.500

Symmetry   No. 221
Total magnetic moment   9.99 μB/f.u.
ρ   4.2 Mg/m³
Energy above the lowest structure with this stoichiometry   0 kJ/mol of formula units
VASP energy   -6.0870 eV per atom
Density of states at the Fermi level   0.5 states/eV/cell